Here is a geometry-optimized NaAl2FeCu structure from Alexandria via LeMat-Bulk. Energies are from GGA-PBE.

a = 4.925 Å, b = 4.925 Å, c = 4.559 Å
α = 90.00°, β = 90.00°, γ = 90.00°
Space group P4/mmm (No. 123)
Symmetry-distinct sites (fractional):
Na  0.000  0.000  0.000 [1 per cell]
Al  0.000  0.500  0.000 [2 per cell]
Fe  0.000  0.000  0.500 [1 per cell]
Cu  0.500  0.500  0.500 [1 per cell]

Properties
* energy of formation from the pure elements: 1.616 eV/atom
* V: 110.6 Å³ per cell
* spin magnetization: 2.91 μB/cell

---

Here is a geometry-optimized NaAlFeCu2 structure from Alexandria via LeMat-Bulk. Energies are from GGA-PBE.

a = 4.521 Å, b = 4.521 Å, c = 4.982 Å
α = 90.00°, β = 90.00°, γ = 90.00°
Space group P4/mmm (No. 123)
Symmetry-distinct sites (fractional):
Na  0.000  0.000  0.000 [1 per cell]
Al  0.000  0.000  0.500 [1 per cell]
Fe  0.500  0.500  0.000 [1 per cell]
Cu  0.000  0.500  0.500 [2 per cell]

Properties
* energy of formation from the pure elements: 1.067 eV/atom
* V: 101.8 Å³ per cell
* spin magnetization: 3.39 μB/cell

---

Here is a geometry-optimized NaAlFe2Cu structure from Alexandria via LeMat-Bulk. Energies are from GGA-PBE.

a = 4.573 Å, b = 4.573 Å, c = 4.586 Å
α = 90.00°, β = 90.00°, γ = 90.00°
Space group P4/mmm (No. 123)
Symmetry-distinct sites (fractional):
Na  0.000  0.000  0.000 [1 per cell]
Al  0.500  0.500  0.500 [1 per cell]
Fe  0.000  0.500  0.500 [2 per cell]
Cu  0.500  0.500  0.000 [1 per cell]

Properties
* energy of formation from the pure elements: 0.891 eV/atom
* V: 95.9 Å³ per cell
* spin magnetization: 5.08 μB/cell

---

Here is a geometry-optimized Nb2Al5Fe2Cu structure from Alexandria via LeMat-Bulk. Energies are from GGA-PBE.

a = 9.984 Å, b = 9.984 Å, c = 2.946 Å
α = 90.00°, β = 90.00°, γ = 90.00°
Space group P4/mbm (No. 127)
Symmetry-distinct sites (fractional):
Nb  0.195  0.305  0.000 [4 per cell]
Al  0.000  0.500  0.500 [2 per cell]
Al  0.035  0.795  0.500 [8 per cell]
Fe  0.137  0.637  0.000 [4 per cell]
Cu  0.000  0.000  0.000 [2 per cell]

Properties
* energy of formation from the pure elements: -0.184 eV/atom
* V: 293.6 Å³ per cell
* spin magnetization: 0.00 μB/cell

---

Look up the V of the second one.
101.8 Å³ per cell